MnFeN2F | GGA+U | relaxed

The volume comes out at 58.34 Å³/cell. The polymorph energy (0 for the lowest one) is 122 meV per atom. As for the magnetization: 6.1 μB per formula unit. The uncorrected energy comes out at -30.1 eV per formula unit.

The structure belongs to space group P4/mmm (No. 123); the cell edges are 3.878, 3.878 and 3.879 Å and the angles 90.00°, 90.00° and 90.00°. The inequivalent atoms are Mn at (0.000, 0.000, 0.000), Fe at (0.500, 0.500, 0.500), N at (0.000, 0.500, 0.000) and F at (0.000, 0.000, 0.500).